# 1
# Hf2TiAs3 | Alexandria | GGA-PBE | relaxed
# Raw total energy   -7.846 eV per atom
# DOS(E_F)   4.05 states/eV/cell
data_Hf2TiAs3
_chemical_formula_sum 'Hf2 Ti1 As3'
_cell_length_a 3.7927
_cell_length_b 3.7927
_cell_length_c 9.2133
_cell_angle_alpha 90.00
_cell_angle_beta 90.00
_cell_angle_gamma 120.00
_space_group_name_H-M_alt 'P 1'
_space_group_IT_number 1
loop_
_space_group_symop_operation_xyz
'x,y,z'
loop_
_atom_site_label
_atom_site_fract_x
_atom_site_fract_y
_atom_site_fract_z
Hf1 0.3333 0.6667 0.1748
Hf2 0.6667 0.3333 0.8252
Ti1 0.0000 0.0000 0.5000
As1 0.0000 0.0000 0.0000
As2 0.3333 0.6667 0.6550
As3 0.6667 0.3333 0.3450


# 2
# HfTi3As | Alexandria | GGA-PBE | relaxed
# Raw total energy   -8.126 eV per atom
# Offset from the most stable computed form   0.0 meV/atom
# DOS(E_F)   28.48 states/eV/cell
data_HfTi3As
_chemical_formula_sum 'Hf4 Ti12 As4'
_cell_length_a 8.7031
_cell_length_b 3.4436
_cell_length_c 11.8734
_cell_angle_alpha 90.00
_cell_angle_beta 90.00
_cell_angle_gamma 90.00
_space_group_name_H-M_alt 'P 1'
_space_group_IT_number 1
loop_
_space_group_symop_operation_xyz
'x,y,z'
loop_
_atom_site_label
_atom_site_fract_x
_atom_site_fract_y
_atom_site_fract_z
Hf1 0.1606 0.2500 0.0033
Hf2 0.3394 0.7500 0.5033
Hf3 0.6606 0.2500 0.4967
Hf4 0.8394 0.7500 0.9967
Ti1 0.0666 0.2500 0.4152
Ti2 0.0755 0.7500 0.2192
Ti3 0.1729 0.7500 0.7936
Ti4 0.3271 0.2500 0.2936
Ti5 0.4245 0.2500 0.7192
Ti6 0.4334 0.7500 0.9152
Ti7 0.5666 0.2500 0.0848
Ti8 0.5755 0.7500 0.2808
Ti9 0.6729 0.7500 0.7064
Ti10 0.8271 0.2500 0.2064
Ti11 0.9245 0.2500 0.7808
Ti12 0.9334 0.7500 0.5848
As1 0.1512 0.2500 0.6280
As2 0.3488 0.7500 0.1280
As3 0.6512 0.2500 0.8720
As4 0.8488 0.7500 0.3720


# 3
# HfTiAs | Alexandria | GGA-PBE | relaxed
# Raw total energy   -8.143 eV per atom
# DOS(E_F)   9.80 states/eV/cell
data_HfTiAs
_chemical_formula_sum 'Hf4 Ti4 As4'
_cell_length_a 9.7701
_cell_length_b 3.4163
_cell_length_c 6.6308
_cell_angle_alpha 90.00
_cell_angle_beta 97.96
_cell_angle_gamma 90.00
_space_group_name_H-M_alt 'P 1'
_space_group_IT_number 1
loop_
_space_group_symop_operation_xyz
'x,y,z'
loop_
_atom_site_label
_atom_site_fract_x
_atom_site_fract_y
_atom_site_fract_z
Hf1 0.0000 0.0000 0.0000
Hf2 0.2351 0.5000 0.2907
Hf3 0.5000 0.5000 0.0000
Hf4 0.7351 0.0000 0.2907
Ti1 0.1631 0.5000 0.7269
Ti2 0.3846 0.0000 0.6282
Ti3 0.6631 0.0000 0.7269
Ti4 0.8846 0.5000 0.6282
As1 0.0323 0.0000 0.4243
As2 0.2836 0.0000 0.9886
As3 0.5323 0.5000 0.4243
As4 0.7836 0.5000 0.9886


# 4
# HfTiAs | Alexandria | GGA-PBE | relaxed
# Raw total energy   -8.388 eV per atom
# DOS(E_F)   5.02 states/eV/cell
data_HfTiAs
_chemical_formula_sum 'Hf2 Ti2 As2'
_cell_length_a 3.7403
_cell_length_b 3.7403
_cell_length_c 7.4610
_cell_angle_alpha 90.00
_cell_angle_beta 90.00
_cell_angle_gamma 90.00
_space_group_name_H-M_alt 'P 1'
_space_group_IT_number 1
loop_
_space_group_symop_operation_xyz
'x,y,z'
loop_
_atom_site_label
_atom_site_fract_x
_atom_site_fract_y
_atom_site_fract_z
Hf1 0.2500 0.2500 0.1347
Hf2 0.7500 0.7500 0.8653
Ti1 0.2500 0.7500 0.5000
Ti2 0.7500 0.2500 0.5000
As1 0.2500 0.2500 0.7556
As2 0.7500 0.7500 0.2444


# 5
# Hf5TiAs3 | Alexandria | GGA-PBE | relaxed
# Raw total energy   -8.304 eV per atom
# DOS(E_F)   12.10 states/eV/cell
data_Hf5TiAs3
_chemical_formula_sum 'Hf10 Ti2 As6'
_cell_length_a 7.1099
_cell_length_b 7.1099
_cell_length_c 9.1112
_cell_angle_alpha 107.71
_cell_angle_beta 107.71
_cell_angle_gamma 72.69
_space_group_name_H-M_alt 'P 1'
_space_group_IT_number 1
loop_
_space_group_symop_operation_xyz
'x,y,z'
loop_
_atom_site_label
_atom_site_fract_x
_atom_site_fract_y
_atom_site_fract_z
Hf1 0.0173 0.0173 0.3267
Hf2 0.1435 0.5671 0.2922
Hf3 0.1955 0.8045 0.0000
Hf4 0.2490 0.2490 0.9420
Hf5 0.4329 0.8565 0.7078
Hf6 0.5671 0.1435 0.2922
Hf7 0.7510 0.7510 0.0580
Hf8 0.8045 0.1955 0.0000
Hf9 0.8565 0.4329 0.7078
Hf10 0.9827 0.9827 0.6733
Ti1 0.4270 0.4270 0.7223
Ti2 0.5730 0.5730 0.2777
As1 0.1775 0.1775 0.1878
As2 0.1959 0.1959 0.6164
As3 0.5000 0.5000 0.0000
As4 0.5000 0.5000 0.5000
As5 0.8041 0.8041 0.3836
As6 0.8225 0.8225 0.8122


# 6
# Hf2TiAs | Alexandria | GGA-PBE | relaxed
# Raw total energy   -8.091 eV per atom
# DOS(E_F)   15.96 states/eV/cell
data_Hf2TiAs
_chemical_formula_sum 'Hf8 Ti4 As4'
_cell_length_a 7.8220
_cell_length_b 7.8220
_cell_length_c 5.4345
_cell_angle_alpha 90.00
_cell_angle_beta 90.00
_cell_angle_gamma 90.00
_space_group_name_H-M_alt 'P 1'
_space_group_IT_number 1
loop_
_space_group_symop_operation_xyz
'x,y,z'
loop_
_atom_site_label
_atom_site_fract_x
_atom_site_fract_y
_atom_site_fract_z
Hf1 0.2110 0.2500 0.1250
Hf2 0.2500 0.7110 0.3750
Hf3 0.2500 0.7890 0.8750
Hf4 0.2890 0.2500 0.6250
Hf5 0.7110 0.7500 0.6250
Hf6 0.7500 0.2110 0.8750
Hf7 0.7500 0.2890 0.3750
Hf8 0.7890 0.7500 0.1250
Ti1 0.0000 0.0000 0.5000
Ti2 0.0000 0.5000 0.7500
Ti3 0.5000 0.0000 0.2500
Ti4 0.5000 0.5000 0.0000
As1 0.0000 0.0000 0.0000
As2 0.0000 0.5000 0.2500
As3 0.5000 0.0000 0.7500
As4 0.5000 0.5000 0.5000


# 7
# HfTiAs | Alexandria | GGA-PBE | relaxed
# Raw total energy   -7.729 eV per atom
# DOS(E_F)   4.20 states/eV/cell
data_HfTiAs
_chemical_formula_sum 'Hf1 Ti1 As1'
_cell_length_a 4.3824
_cell_length_b 4.3824
_cell_length_c 3.3576
_cell_angle_alpha 90.00
_cell_angle_beta 90.00
_cell_angle_gamma 120.00
_space_group_name_H-M_alt 'P 1'
_space_group_IT_number 1
loop_
_space_group_symop_operation_xyz
'x,y,z'
loop_
_atom_site_label
_atom_site_fract_x
_atom_site_fract_y
_atom_site_fract_z
Hf1 0.0000 0.0000 0.0000
Ti1 0.3333 0.6667 0.5000
As1 0.6667 0.3333 0.5000


# 8
# HfTiAs | Alexandria | GGA-PBE | relaxed
# Raw total energy   -8.259 eV per atom
# DOS(E_F)   6.53 states/eV/cell
data_HfTiAs
_chemical_formula_sum 'Hf4 Ti4 As4'
_cell_length_a 3.7472
_cell_length_b 3.8749
_cell_length_c 14.6619
_cell_angle_alpha 90.00
_cell_angle_beta 90.00
_cell_angle_gamma 90.00
_space_group_name_H-M_alt 'P 1'
_space_group_IT_number 1
loop_
_space_group_symop_operation_xyz
'x,y,z'
loop_
_atom_site_label
_atom_site_fract_x
_atom_site_fract_y
_atom_site_fract_z
Hf1 0.0000 0.0000 0.0000
Hf2 0.0000 0.5000 0.3186
Hf3 0.5000 0.0000 0.8186
Hf4 0.5000 0.5000 0.5000
Ti1 0.0000 0.0000 0.6427
Ti2 0.0000 0.5000 0.8189
Ti3 0.5000 0.0000 0.3189
Ti4 0.5000 0.5000 0.1427
As1 0.0000 0.0000 0.1833
As2 0.0000 0.0000 0.4579
As3 0.5000 0.5000 0.6833
As4 0.5000 0.5000 0.9579


Per-record mass density, kg/m³: 9109; 7411; 9130; 9586; 9503; 9584; 8958; 9400